K2BaCoF6 PBE+U optimized geometry; DOS at the Fermi energy = 0.0000 states/eV per atom; total DFT energy (no corrections) = -4.9181 eV per atom
1.0
-0.827 -2.314 5.781
4.780 -4.166 -0.984
5.886 6.046 2.992
K Ba Co F
4 2 2 12
Cartesian
5.984 -2.513 -0.091 K
6.590 1.029 4.691 K
3.854 2.078 7.879 K
3.248 -1.464 3.097 K
-0.413 -1.157 2.890 Ba
5.333 0.940 1.004 Ba
2.529 1.866 4.386 Co
2.390 -2.083 -0.492 Co
3.367 -3.126 1.010 F
6.537 -1.818 5.264 F
6.472 2.691 6.779 F
3.302 1.383 2.524 F
5.831 -1.145 2.468 F
8.516 0.585 6.822 F
4.008 0.710 5.320 F
1.323 -1.020 0.966 F
3.136 -3.004 5.300 F
8.487 -0.563 3.495 F
6.703 2.569 2.488 F
1.352 0.128 4.294 F